## Tl2MoCl (GGA-PBE)

Data for a relaxed structure of Tl2MoCl.

The space group is Cmm2 (No. 35) and the conventional cell measures 3.205, 5.711 and 10.673 Å, with angles of 90.00, 90.00 and 90.00 degrees. Symmetry generates all atoms from Tl at (0.000, 0.000, 0.000), Tl at (0.000, 0.500, 0.275), Mo at (0.000, 0.000, 0.505) and Cl at (0.000, 0.500, 0.675).

The value obtained for the mass density is 9181 kg/m3. For the total energy, the calculation gives -32.89 eV/cell. As for the energy above the most stable polymorph in this dataset: 0.1109 eV/atom. For the formation energy (no corrections), the calculation gives 240.8 meV/atom. The total moment comes out at 1.8 μB/cell. The calculation puts the volume at 97.70 Å³/f.u.